No. 1
Here is a relaxed structure of CuTcAgF6 from Alexandria. Energies are from PBE-GGA.

Structure (POSCAR):
```
CuTcAgF6
1.0
-5.0226 2.5290 -0.5340
0.4352 -4.8340 2.8898
1.7101 5.1666 8.3849
F Cu Tc Ag
12 2 2 2
Direct
0.0292 0.6510 0.8573 F
0.3783 0.3490 0.3573 F
0.6510 0.6217 0.1427 F
0.6217 0.6510 0.6427 F
0.3783 0.0292 0.1427 F
0.3490 0.3783 0.8573 F
0.9708 0.6217 0.3573 F
0.3490 0.9708 0.6427 F
0.9708 0.3490 0.1427 F
0.0292 0.3783 0.6427 F
0.6510 0.0292 0.3573 F
0.6217 0.9708 0.8573 F
0.6667 0.3333 0.7500 Cu
0.3333 0.6667 0.2500 Cu
0.6667 0.3333 0.2500 Tc
0.3333 0.6667 0.7500 Tc
0.0000 0.0000 0.5000 Ag
0.0000 0.0000 0.0000 Ag
```

Values from the calculation:
spin magnetization: 0.337 μB/atom
symmetry: No. 163
formation energy (no corrections): -37.34 kcal/mol of atoms

---

No. 2
Here is a relaxed structure of TiCuAg2F from Alexandria. Energies are from PBE-GGA.

Structure (POSCAR):
```
TiCuAg2F
1.0
-0.4536 4.5500 -2.3446
-3.8190 0.9558 2.5937
2.9786 2.1489 3.5938
Ag Ti Cu F
2 1 1 1
Direct
0.5000 0.0000 0.0000 Ag
0.0000 0.0000 0.5000 Ag
0.0000 0.0000 0.0000 Ti
0.0000 0.5000 0.0000 Cu
0.5000 0.5000 0.5000 F
```

Values from the calculation:
spin magnetization: 0.402 μB/atom
symmetry: No. 123
formation energy (no corrections): 21.94 kcal/mol of atoms

---

No. 3
Here is a relaxed structure of TlCuAg2F8 from Alexandria. Energies are from PBE-GGA.

Structure (POSCAR):
```
TlCuAg2F8
1.0
-0.4945 -4.9333 2.7860
-2.2885 -2.3844 -4.6283
6.2890 2.2192 -0.7588
Ag F Tl Cu
2 8 1 1
Direct
0.2500 0.7500 0.5000 Ag
0.5000 0.5000 0.0000 Ag
0.4958 0.4943 0.6270 F
0.5057 0.8689 0.3730 F
0.3433 0.2040 0.1217 F
0.0824 0.6567 0.8783 F
0.1311 0.1327 0.6270 F
0.8673 0.5042 0.3730 F
0.7784 0.9176 0.1217 F
0.7960 0.2216 0.8783 F
0.7500 0.2500 0.5000 Tl
0.0000 0.0000 0.0000 Cu
```

Values from the calculation:
spin magnetization: 0.173 μB/atom
symmetry: No. 82
formation energy (no corrections): -31.97 kcal/mol of atoms

---

No. 4
Here is a relaxed structure of Tl2Cu2AgF6 from Alexandria. Energies are from PBE-GGA.

Structure (POSCAR):
```
Tl2Cu2AgF6
1.0
6.0926 0.0000 0.0000
-3.0463 5.7047 -0.0427
0.0000 -3.3123 5.7442
F Ag Tl Cu
6 1 2 2
Direct
0.7517 0.5033 0.6636 F
0.1670 0.8723 0.1919 F
0.2483 0.4967 0.3364 F
0.8330 0.1277 0.8081 F
0.2948 0.1277 0.8081 F
0.7052 0.8723 0.1919 F
0.5000 0.0000 0.5000 Ag
0.2768 0.5535 0.8184 Tl
0.7232 0.4465 0.1816 Tl
0.0635 0.1270 0.2351 Cu
0.9365 0.8730 0.7649 Cu
```

Values from the calculation:
spin magnetization: 0.092 μB/atom
symmetry: No. 12
formation energy (no corrections): -32.18 kcal/mol of atoms

---

No. 5
Here is a relaxed structure of Tl2CuAgF6 from Alexandria. Energies are from PBE-GGA.

Structure (POSCAR):
```
Tl2CuAgF6
1.0
-2.5272 -5.4950 0.2496
2.8838 -1.0969 5.2082
-3.5085 4.9253 -0.5401
F Ag Tl Cu
6 1 2 1
Direct
0.7680 0.2321 0.9998 F
0.2290 0.2294 0.4573 F
0.2393 0.2399 0.9988 F
0.2318 0.7686 0.9997 F
0.7604 0.7607 0.0006 F
0.7708 0.7713 0.5422 F
0.4999 0.5003 0.9998 Ag
0.7501 0.2505 0.5000 Tl
0.2499 0.7507 0.5000 Tl
0.9999 0.0003 0.9998 Cu
```

Values from the calculation:
spin magnetization: 0.000 μB/atom
symmetry: No. 12
formation energy (no corrections): -36.26 kcal/mol of atoms

---

No. 6
Here is a relaxed structure of Tl4Cu3AgF12 from Alexandria. Energies are from PBE-GGA.

Structure (POSCAR):
```
Tl4Cu3AgF12
1.0
7.3355 0.0000 0.0000
-2.4452 6.9159 0.0000
-2.4452 -3.4580 5.9894
Tl F Cu Ag
4 12 3 1
Direct
0.0000 0.5000 0.0000 Tl
0.5000 0.5000 0.5000 Tl
0.0000 0.0000 0.5000 Tl
0.5000 0.0000 0.0000 Tl
0.2500 0.7500 0.5000 F
0.7265 0.0000 0.7265 F
0.2500 0.5000 0.7500 F
0.7500 0.2500 0.5000 F
0.2735 0.2735 0.0000 F
0.2735 0.0000 0.2735 F
0.5000 0.7500 0.2500 F
0.5000 0.2500 0.7500 F
0.0000 0.2735 0.2735 F
0.7265 0.7265 0.0000 F
0.0000 0.7265 0.7265 F
0.7500 0.5000 0.2500 F
0.5000 0.5000 0.0000 Cu
0.5000 0.0000 0.5000 Cu
0.0000 0.5000 0.5000 Cu
0.0000 0.0000 0.0000 Ag
```

Values from the calculation:
spin magnetization: 0.138 μB/atom
symmetry: No. 229
formation energy (no corrections): -37.17 kcal/mol of atoms

---

No. 7
Here is a relaxed structure of TlCu2AgF8 from Alexandria. Energies are from PBE-GGA.

Structure (POSCAR):
```
TlCu2AgF8
1.0
5.5303 0.0000 0.0000
0.0000 5.5303 0.0000
-2.7652 -2.7651 5.3700
Cu Ag F Tl
2 1 8 1
Direct
0.5000 0.5000 0.0000 Cu
0.2500 0.7500 0.5000 Cu
0.0000 0.0000 0.0000 Ag
0.7035 0.8597 0.1309 F
0.0184 0.4134 0.3859 F
0.1403 0.5727 0.8691 F
0.3675 0.9725 0.3859 F
0.7289 0.2965 0.8691 F
0.4273 0.2711 0.1309 F
0.5866 0.6325 0.6141 F
0.0275 0.9816 0.6141 F
0.7500 0.2500 0.5000 Tl
```

Values from the calculation:
spin magnetization: 0.169 μB/atom
symmetry: No. 82
formation energy (no corrections): -34.01 kcal/mol of atoms

---

No. 8
Here is a relaxed structure of Tl2Cu2AgF7 from Alexandria. Energies are from PBE-GGA.

Structure (POSCAR):
```
Tl2Cu2AgF7
1.0
-2.1157 -0.4992 3.4951
-2.5544 -2.5969 -1.9164
4.1586 -9.9250 3.5102
F Tl Ag Cu
7 2 1 2
Direct
0.6803 0.6803 0.6368 F
0.5876 0.0873 0.8240 F
0.5000 0.5000 0.0000 F
0.9127 0.4124 0.1760 F
0.4124 0.9127 0.1760 F
0.3197 0.3197 0.3632 F
0.0873 0.5876 0.8240 F
0.1817 0.1817 0.6348 Tl
0.8183 0.8183 0.3652 Tl
0.0000 0.0000 0.0000 Ag
0.5895 0.5895 0.8194 Cu
0.4105 0.4105 0.1806 Cu
```

Values from the calculation:
spin magnetization: 0.162 μB/atom
symmetry: No. 12
formation energy (no corrections): -35.08 kcal/mol of atoms

---

No. 9
Here is a relaxed structure of TlCu3Ag2F8 from Alexandria. Energies are from PBE-GGA.

Structure (POSCAR):
```
TlCu3Ag2F8
1.0
6.9975 0.3255 -0.3933
3.8109 5.6143 0.0412
3.2119 2.2536 5.7968
F Cu Ag Tl
8 3 2 1
Direct
0.3019 0.7211 0.7567 F
0.2191 0.2981 0.8138 F
0.3216 0.7417 0.1393 F
0.2410 0.2363 0.2081 F
0.7246 0.7941 0.8184 F
0.7143 0.2571 0.8220 F
0.7375 0.7177 0.2165 F
0.7243 0.2695 0.2163 F
0.4806 0.0117 0.0141 Cu
0.9793 0.5082 0.0151 Cu
0.5162 0.4988 0.9814 Cu
0.1067 0.1848 0.6088 Ag
0.4965 0.4781 0.5018 Ag
0.9293 0.7753 0.4099 Tl
```

Values from the calculation:
spin magnetization: 0.143 μB/atom
symmetry: No. 1
formation energy (no corrections): -30.84 kcal/mol of atoms

---

No. 10
Here is a relaxed structure of Tl3CuAg2F9 from Alexandria. Energies are from PBE-GGA.

Structure (POSCAR):
```
Tl3CuAg2F9
1.0
-2.7929 5.0988 1.9312
1.0723 -4.5794 3.9251
6.6691 3.0121 1.6922
Tl Ag F Cu
3 2 9 1
Direct
0.0000 0.0000 0.0000 Tl
0.3333 0.6667 0.6757 Tl
0.6667 0.3333 0.3243 Tl
0.6667 0.3333 0.8186 Ag
0.3333 0.6667 0.1814 Ag
0.5000 0.5000 0.0000 F
0.1543 0.3087 0.3482 F
0.1543 0.8457 0.3482 F
0.3087 0.1543 0.6518 F
0.0000 0.5000 0.0000 F
0.6913 0.8457 0.3482 F
0.8457 0.6913 0.6518 F
0.5000 0.0000 0.0000 F
0.8457 0.1543 0.6518 F
0.0000 0.0000 0.5000 Cu
```

Values from the calculation:
spin magnetization: 0.029 μB/atom
symmetry: No. 164
formation energy (no corrections): -35.34 kcal/mol of atoms

---

No. 11
Here is a relaxed structure of TmCuAgF6 from Alexandria. Energies are from PBE-GGA.

Structure (POSCAR):
```
TmCuAgF6
1.0
5.6349 0.0000 0.0000
-2.8174 4.8800 0.0000
0.0000 0.0000 10.0228
Tm F Ag Cu
2 12 2 2
Direct
0.6667 0.3333 0.7500 Tm
0.3333 0.6667 0.2500 Tm
0.3671 0.3559 0.3606 F
0.0113 0.3671 0.6394 F
0.9887 0.6329 0.3606 F
0.6441 0.0113 0.3606 F
0.6329 0.9887 0.8606 F
0.6329 0.6441 0.6394 F
0.3559 0.3671 0.8606 F
0.3559 0.9887 0.6394 F
0.9887 0.3559 0.1394 F
0.6441 0.6329 0.1394 F
0.0113 0.6441 0.8606 F
0.3671 0.0113 0.1394 F
0.0000 0.0000 0.0000 Ag
0.0000 0.0000 0.5000 Ag
0.3333 0.6667 0.7500 Cu
0.6667 0.3333 0.2500 Cu
```

Values from the calculation:
spin magnetization: 0.111 μB/atom
symmetry: No. 163
formation energy (no corrections): -57.88 kcal/mol of atoms

---

| no. | DOS at the Fermi energy (states/eV per atom) |
| --- | --- |
| 1 | 0.44 |
| 2 | 0.71 |
| 3 | 0.48 |
| 4 | 0.58 |
| 5 | 0.25 |
| 6 | 0.29 |
| 7 | 0.30 |
| 8 | 0.25 |
| 9 | 0.36 |
| 10 | 0.25 |
| 11 | 0.66 |